[1]
VASP calculation (GGA-PBE) on Ca3PdPt8 after structural relaxation.

Computed properties:
E_form (meV/atom): -741
Theoretical density (g/cm³): 13.4
Volume (A^3/atom): 18.5

Geometry as POSCAR:
```
Ca3PdPt8
1.0
2.700 1.559 8.789
-2.700 1.559 8.789
0.000 -3.117 8.789
Ca Pd Pt
3 1 8
Direct
0.000 0.000 0.000
0.129 0.129 0.129
0.513 0.513 0.513
0.636 0.636 0.636
0.067 0.567 0.567
0.068 0.068 0.567
0.068 0.567 0.068
0.317 0.317 0.317
0.567 0.067 0.567
0.567 0.068 0.068
0.567 0.567 0.067
0.817 0.817 0.817
```

[2]
VASP calculation (GGA-PBE) on Ca2PdPt after structural relaxation.

Computed properties:
E_form (meV/atom): -794
Theoretical density (g/cm³): 7.4
Volume (A^3/atom): 21.5

Geometry as POSCAR:
```
Ca2PdPt
1.0
0.000 3.502 3.502
3.502 0.000 3.502
3.502 3.502 0.000
Ca Pd Pt
2 1 1
Direct
0.250 0.250 0.250
0.750 0.750 0.750
0.000 0.000 0.000
0.500 0.500 0.500
```

[3]
VASP calculation (GGA-PBE) on CaPdPt after structural relaxation.

Computed properties:
E_form (meV/atom): -722
Theoretical density (g/cm³): 9.5
Volume (A^3/atom): 20.0

Geometry as POSCAR:
```
CaPdPt
1.0
2.253 -4.836 0.000
2.253 4.836 0.000
0.000 0.000 5.497
Ca Pd Pt
2 2 2
Direct
0.212 0.788 0.750
0.788 0.212 0.250
0.074 0.926 0.250
0.926 0.074 0.750
0.500 0.500 0.000
0.500 0.500 0.500
```

[4]
VASP calculation (GGA-PBE) on Ca2PdPt after structural relaxation.

Computed properties:
E_form (meV/atom): -785
Theoretical density (g/cm³): 7.3
Volume (A^3/atom): 21.6

Geometry as POSCAR:
```
Ca2PdPt
1.0
4.933 0.000 0.000
0.000 4.933 0.000
0.000 0.000 3.546
Ca Pd Pt
2 1 1
Direct
0.000 0.500 0.000
0.500 0.000 0.000
0.000 0.000 0.500
0.500 0.500 0.500
```

[5]
VASP calculation (GGA-PBE) on Ca4Pd3Pt after structural relaxation.

Computed properties:
E_form (meV/atom): -732
Theoretical density (g/cm³): 6.4
Volume (A^3/atom): 21.8

Geometry as POSCAR:
```
Ca4Pd3Pt
1.0
4.960 0.000 0.000
0.000 4.960 0.000
0.000 0.000 7.084
Ca Pd Pt
4 3 1
Direct
0.000 0.500 0.247
0.000 0.500 0.753
0.500 0.000 0.247
0.500 0.000 0.753
0.000 0.000 0.000
0.000 0.000 0.500
0.500 0.500 0.500
0.500 0.500 0.000
```

[6]
VASP calculation (GGA-PBE) on Ca3Pd8Pt after structural relaxation.

Computed properties:
E_form (meV/atom): -502
Theoretical density (g/cm³): 8.7
Volume (A^3/atom): 18.5

Geometry as POSCAR:
```
Ca3Pd8Pt
1.0
2.699 1.558 8.795
-2.699 1.558 8.795
0.000 -3.116 8.795
Ca Pd Pt
3 8 1
Direct
0.000 0.000 0.000
0.130 0.130 0.130
0.612 0.612 0.612
0.061 0.061 0.561
0.061 0.561 0.061
0.063 0.563 0.563
0.312 0.312 0.312
0.561 0.061 0.061
0.563 0.063 0.563
0.563 0.563 0.063
0.813 0.813 0.813
0.490 0.490 0.490
```

[7]
VASP calculation (GGA-PBE) on CaPd4Pt2 after structural relaxation.

Computed properties:
E_form (meV/atom): -375
Theoretical density (g/cm³): 11.7
Volume (A^3/atom): 17.4

Geometry as POSCAR:
```
CaPd4Pt2
1.0
4.297 -3.374 0.000
4.297 3.374 0.000
-3.297 0.000 4.194
Ca Pd Pt
1 4 2
Direct
0.000 0.000 0.000
0.000 0.407 0.703
0.000 0.593 0.297
0.407 0.000 0.703
0.593 0.000 0.297
0.500 0.500 0.250
0.500 0.500 0.750
```

[8]
VASP calculation (GGA-PBE) on CaPuPdPt after structural relaxation.

Computed properties:
E_form (meV/atom): -681
Theoretical density (g/cm³): 11.1
Volume (A^3/atom): 21.9

Geometry as POSCAR:
```
CaPuPdPt
1.0
3.495 0.000 0.000
0.000 3.495 0.000
0.000 0.000 7.163
Ca Pu Pd Pt
1 1 1 1
Direct
0.000 0.000 0.000
0.000 0.000 0.509
0.500 0.500 0.262
0.500 0.500 0.740
```

[9]
VASP calculation (GGA-PBE) on CaPuPdPt after structural relaxation.

Computed properties:
E_form (meV/atom): -657
Theoretical density (g/cm³): 11.2
Volume (A^3/atom): 21.7

Geometry as POSCAR:
```
CaPuPdPt
1.0
0.000 3.516 3.516
3.516 0.000 3.516
3.516 3.516 0.000
Ca Pu Pd Pt
1 1 1 1
Direct
0.000 0.000 0.000
0.500 0.500 0.500
0.250 0.250 0.250
0.750 0.750 0.750
```

[10]
VASP calculation (GGA-PBE) on CaPdPt2Rh after structural relaxation.

Computed properties:
E_form (meV/atom): 544
Theoretical density (g/cm³): 9.2
Volume (A^3/atom): 23.0

Geometry as POSCAR:
```
CaPdPt2Rh
1.0
4.944 0.000 0.000
0.000 4.944 0.000
0.000 0.000 4.715
Ca Pd Pt Rh
1 1 2 1
Direct
0.000 0.000 0.000
0.500 0.500 0.500
0.000 0.500 0.500
0.500 0.000 0.500
0.500 0.500 0.000
```

[11]
VASP calculation (GGA-PBE) on CaPd2PtRh after structural relaxation.

Computed properties:
E_form (meV/atom): 744
Theoretical density (g/cm³): 7.9
Volume (A^3/atom): 23.1

Geometry as POSCAR:
```
CaPd2PtRh
1.0
4.789 0.000 0.000
0.000 4.789 0.000
0.000 0.000 5.037
Ca Pd Pt Rh
1 2 1 1
Direct
0.000 0.000 0.000
0.000 0.500 0.500
0.500 0.000 0.500
0.500 0.500 0.000
0.000 0.000 0.500
```

[12]
VASP calculation (GGA-PBE) on Ca2Sb2Pd5Pt after structural relaxation.

Computed properties:
Theoretical density (g/cm³): 8.7
Volume (A^3/atom): 20.0
ΔE_f (raw) (meV/atom): -538

Geometry as POSCAR:
```
Ca2Sb2Pd5Pt
1.0
10.411 0.000 0.000
0.000 10.411 0.000
0.000 0.000 3.682
Ca Sb Pd Pt
4 4 10 2
Direct
0.170 0.330 0.000
0.330 0.830 0.000
0.670 0.170 0.000
0.830 0.670 0.000
0.133 0.633 0.000
0.367 0.133 0.000
0.633 0.867 0.000
0.867 0.367 0.000
0.000 0.500 0.500
0.052 0.808 0.500
0.192 0.052 0.500
0.308 0.552 0.500
0.448 0.308 0.500
0.500 0.000 0.500
0.552 0.692 0.500
0.692 0.448 0.500
0.808 0.948 0.500
0.948 0.192 0.500
0.000 0.000 0.000
0.500 0.500 0.000
```

[13]
VASP calculation (GGA-PBE) on CaSb2Pd4Pt after structural relaxation.

Computed properties:
Theoretical density (g/cm³): 10.2
Volume (A^3/atom): 18.3
ΔE_f (raw) (meV/atom): -463

Geometry as POSCAR:
```
CaSb2Pd4Pt
1.0
2.327 1.344 7.812
-2.327 1.344 7.812
0.000 -2.687 7.812
Ca Sb Pd Pt
1 2 4 1
Direct
0.000 0.000 0.000
0.246 0.246 0.246
0.754 0.754 0.754
0.127 0.127 0.127
0.383 0.383 0.383
0.617 0.617 0.617
0.873 0.873 0.873
0.500 0.500 0.500
```

[14]
VASP calculation (GGA-PBE) on Ca2Sb4PdPt3 after structural relaxation.

Computed properties:
Theoretical density (g/cm³): 9.0
Volume (A^3/atom): 23.2
ΔE_f (raw) (meV/atom): -724

Geometry as POSCAR:
```
Ca2Sb4PdPt3
1.0
4.636 0.000 0.000
0.000 4.636 0.000
0.000 0.000 10.796
Ca Sb Pd Pt
2 4 1 3
Direct
0.000 0.500 0.230
0.500 0.000 0.770
0.000 0.000 0.500
0.000 0.500 0.871
0.500 0.000 0.129
0.500 0.500 0.500
0.500 0.500 0.000
0.000 0.000 0.000
0.000 0.500 0.630
0.500 0.000 0.370
```

[15]
VASP calculation (GGA-PBE) on CaScPdPt after structural relaxation.

Computed properties:
E_form (meV/atom): -881
Theoretical density (g/cm³): 8.3
Volume (A^3/atom): 19.4

Geometry as POSCAR:
```
CaScPdPt
1.0
0.000 3.388 3.388
3.388 0.000 3.388
3.388 3.388 0.000
Ca Sc Pd Pt
1 1 1 1
Direct
0.000 0.000 0.000
0.500 0.500 0.500
0.250 0.250 0.250
0.750 0.750 0.750
```

[16]
VASP calculation (GGA-PBE) on Ca2Si4PdPt3 after structural relaxation.

Computed properties:
Theoretical density (g/cm³): 8.3
Volume (A^3/atom): 17.7
ΔE_f (raw) (meV/atom): -931

Geometry as POSCAR:
```
Ca2Si4PdPt3
1.0
4.211 0.000 0.000
0.000 4.211 0.000
0.000 0.000 9.988
Ca Si Pd Pt
2 4 1 3
Direct
0.000 0.500 0.246
0.500 0.000 0.754
0.000 0.000 0.000
0.000 0.500 0.630
0.500 0.000 0.370
0.500 0.500 0.000
0.000 0.000 0.500
0.000 0.500 0.873
0.500 0.000 0.127
0.500 0.500 0.500
```

[17]
VASP calculation (GGA-PBE) on Ca2Si2Pd5Pt after structural relaxation.

Computed properties:
Theoretical density (g/cm³): 8.3
Volume (A^3/atom): 17.3
ΔE_f (raw) (meV/atom): -669

Geometry as POSCAR:
```
Ca2Si2Pd5Pt
1.0
9.870 0.000 0.000
0.000 9.870 0.000
0.000 0.000 3.546
Ca Si Pd Pt
4 4 10 2
Direct
0.176 0.324 0.000
0.324 0.824 0.000
0.676 0.176 0.000
0.824 0.676 0.000
0.124 0.624 0.000
0.376 0.124 0.000
0.624 0.876 0.000
0.876 0.376 0.000
0.000 0.500 0.500
0.066 0.789 0.500
0.211 0.066 0.500
0.289 0.566 0.500
0.434 0.289 0.500
0.500 0.000 0.500
0.566 0.711 0.500
0.711 0.434 0.500
0.789 0.934 0.500
0.934 0.211 0.500
0.000 0.000 0.000
0.500 0.500 0.000
```

[18]
VASP calculation (GGA-PBE) on Ca2Si4Pd3Pt after structural relaxation.

Computed properties:
Theoretical density (g/cm³): 6.6
Volume (A^3/atom): 17.7
ΔE_f (raw) (meV/atom): -790

Geometry as POSCAR:
```
Ca2Si4Pd3Pt
1.0
4.163 0.000 0.000
0.000 4.163 0.000
0.000 0.000 10.232
Ca Si Pd Pt
2 4 3 1
Direct
0.000 0.500 0.246
0.500 0.000 0.754
0.000 0.000 0.000
0.000 0.500 0.630
0.500 0.000 0.370
0.500 0.500 0.000
0.000 0.500 0.869
0.500 0.000 0.131
0.500 0.500 0.500
0.000 0.000 0.500
```

[19]
VASP calculation (GGA-PBE) on Ca2Si3PdPt12 after structural relaxation.

Computed properties:
Theoretical density (g/cm³): 12.5
Volume (A^3/atom): 19.3
ΔE_f (raw) (meV/atom): -329

Geometry as POSCAR:
```
Ca2Si3PdPt12
1.0
4.126 2.382 5.903
-4.126 2.382 5.903
0.000 -4.765 5.903
Ca Si Pd Pt
2 3 1 12
Direct
0.103 0.103 0.103
0.897 0.897 0.897
0.000 0.500 0.500
0.500 0.000 0.500
0.500 0.500 0.000
0.500 0.500 0.500
0.116 0.638 0.638
0.146 0.146 0.599
0.146 0.599 0.146
0.362 0.362 0.884
0.362 0.884 0.362
0.401 0.854 0.854
0.599 0.146 0.146
0.638 0.116 0.638
0.638 0.638 0.116
0.854 0.401 0.854
0.854 0.854 0.401
0.884 0.362 0.362
```

[20]
VASP calculation (GGA-PBE) on Ca2Si3PdPt4 after structural relaxation.

Computed properties:
Theoretical density (g/cm³): 9.6
Volume (A^3/atom): 18.2
ΔE_f (raw) (meV/atom): -856

Geometry as POSCAR:
```
Ca2Si3PdPt4
1.0
4.199 0.000 0.000
0.000 4.199 0.000
0.000 0.000 10.318
Ca Si Pd Pt
2 3 1 4
Direct
0.000 0.500 0.243
0.500 0.000 0.757
0.000 0.000 0.000
0.000 0.500 0.625
0.500 0.000 0.375
0.500 0.500 0.000
0.000 0.000 0.500
0.000 0.500 0.849
0.500 0.000 0.151
0.500 0.500 0.500
```

[21]
VASP calculation (GGA-PBE) on CaSiPdPt after structural relaxation.

Computed properties:
Theoretical density (g/cm³): 7.5
Volume (A^3/atom): 20.6
ΔE_f (raw) (meV/atom): -642

Geometry as POSCAR:
```
CaSiPdPt
1.0
4.275 0.000 0.000
0.000 1.953 4.930
0.000 -1.953 4.930
Ca Si Pd Pt
1 1 1 1
Direct
0.000 0.000 0.000
0.500 0.624 0.624
0.500 0.271 0.271
0.000 0.721 0.721
```

[22]
VASP calculation (GGA-PBE) on CaSi2PdPt after structural relaxation.

Computed properties:
Theoretical density (g/cm³): 7.5
Volume (A^3/atom): 17.7
ΔE_f (raw) (meV/atom): -869

Geometry as POSCAR:
```
CaSi2PdPt
1.0
-2.115 2.115 4.945
2.115 -2.115 4.945
2.115 2.115 -4.945
Ca Si Pd Pt
1 2 1 1
Direct
0.000 0.000 0.000
0.378 0.378 0.000
0.622 0.622 0.000
0.750 0.250 0.500
0.250 0.750 0.500
```

[23]
VASP calculation (GGA-PBE) on CaSmPdPt after structural relaxation.

Computed properties:
E_form (meV/atom): -901
Theoretical density (g/cm³): 9.3
Volume (A^3/atom): 22.0

Geometry as POSCAR:
```
CaSmPdPt
1.0
0.000 3.533 3.533
3.533 0.000 3.533
3.533 3.533 0.000
Ca Sm Pd Pt
1 1 1 1
Direct
0.000 0.000 0.000
0.500 0.500 0.500
0.750 0.750 0.750
0.250 0.250 0.250
```

[24]
VASP calculation (GGA-PBE) on CaSmPdPt after structural relaxation.

Computed properties:
E_form (meV/atom): -916
Theoretical density (g/cm³): 8.7
Volume (A^3/atom): 23.5

Geometry as POSCAR:
```
CaSmPdPt
1.0
4.508 0.000 0.000
0.000 1.952 5.340
0.000 -1.952 5.340
Ca Sm Pd Pt
1 1 1 1
Direct
0.000 0.000 0.000
0.500 0.722 0.722
0.000 0.278 0.278
0.500 0.441 0.441
```

Summary of DFT total energy in eV per cell
-68.4; -18.4; -30.8; -18.4; -35.5; -59.6; -37.5; -30.3; -30.2; -23.9; -22.1; -99.3; -40.8; -51.0; -23.1; -58.3; -107.1; -55.2; -103.9; -58.2; -21.2; -28.4; -21.6; -21.6
(order as listed above)